Record 1
VASP calculation (GGA-PBE) on a relaxed CsNb2V crystal.

Computed properties:
DFT total energy (eV per atom): -5.869
Formation energy from the elements (meV/atom): 1658

extended XYZ file:
```
4
Lattice="0.0000 3.4124 3.4124 3.4124 0.0000 3.4124 3.4124 3.4124 0.0000" Properties=species:S:1:pos:R:3 pbc="T T T"
Nb 1.7062 1.7062 1.7062
Nb 5.1186 5.1186 5.1186
Cs 3.4124 3.4124 3.4124
V 0.0000 0.0000 0.0000
```

Record 2
VASP calculation (GGA-PBE) on a relaxed CuIrO3 crystal.

Computed properties:
DFT total energy (eV per atom): -5.992
Raw formation energy (eV per atom): -0.43

extended XYZ file:
```
10
Lattice="3.7741 0.0000 0.0000 -1.8871 5.0753 -0.7524 0.0000 -0.0376 6.0922" Properties=species:S:1:pos:R:3 pbc="T T T"
O 0.0000 0.6035 1.1324
O 1.8871 4.4341 4.2074
O 1.8871 1.7155 5.5084
O 0.0000 3.3222 -0.1686
O 1.8871 3.3021 1.9250
O 0.0000 1.7355 3.4148
Cu 1.8871 1.2999 2.4483
Cu 0.0000 3.7377 2.8914
Ir 0.0000 1.3065 5.3247
Ir 1.8871 3.7311 0.0151
```

Record 3
VASP calculation (GGA-PBE) on a relaxed ScPa2CrC4 crystal.

Computed properties:
DFT total energy (eV per atom): -9.045
Formation energy from the elements (meV/atom): -65

extended XYZ file:
```
16
Lattice="-2.0224 0.0110 -2.8283 1.7556 -5.5220 0.8603 -9.7615 -2.0172 6.9723" Properties=species:S:1:pos:R:3 pbc="T T T"
Cr -2.2088 -2.2207 1.5708
Cr -7.8195 -5.3076 3.4336
C -9.1046 -4.2944 4.3565
C -6.8702 -3.8326 2.7605
C -4.8808 -1.0086 3.4861
C -0.9237 -3.2339 0.6479
C -6.6903 -6.1878 4.7599
C -3.1581 -3.6956 2.2439
C -3.3380 -1.3404 0.2445
C 0.0000 0.0000 0.0000
Sc -7.1428 -2.8344 5.0966
Sc -2.8855 -4.6939 -0.0922
Pa -1.2631 -1.5801 -1.2402
Pa -4.7909 -5.1269 3.4058
Pa -5.2374 -2.4014 1.5985
Pa -8.7652 -5.9482 6.2446
```

Record 4
VASP calculation (GGA-PBE) on a relaxed ReTeP crystal.

Computed properties:
DFT total energy (eV per atom): -6.765
Raw formation energy (eV per atom): 0.23
Polymorph energy (0 for the lowest one) (meV/atom): 50

extended XYZ file:
```
3
Lattice="-1.5388 1.5388 6.1252 1.5388 -1.5388 6.1252 1.5388 1.5388 -6.1252" Properties=species:S:1:pos:R:3 pbc="T T T"
P 0.0000 0.0000 11.6961
Re 0.0000 0.0000 4.2713
Te 0.0000 0.0000 8.5334
```

Record 5
VASP calculation (GGA-PBE) on a relaxed KMg2Sc crystal.

Computed properties:
DFT total energy (eV per atom): -2.416
Polymorph energy (0 for the lowest one) (meV/atom): 75
Formation energy from the elements (meV/atom): 239

extended XYZ file:
```
4
Lattice="11.9065 -0.0001 -0.0001 11.4154 3.3841 -0.0001 11.4154 1.6564 2.9510" Properties=species:S:1:pos:R:3 pbc="T T T"
K 26.0530 3.7803 2.2132
Mg 17.7642 2.5776 1.5091
Mg 34.3418 4.9830 2.9173
Sc 8.6843 1.2601 0.7377
```

Record 6
VASP calculation (GGA-PBE) on a relaxed Tb3GaPd2 crystal.

Computed properties:
DFT total energy (eV per atom): -5.326
Formation energy from the elements (meV/atom): -776

extended XYZ file:
```
6
Lattice="3.5158 0.0000 0.0000 0.0000 3.5158 0.0000 0.0000 0.0000 10.8316" Properties=species:S:1:pos:R:3 pbc="T T T"
Ga 1.7579 1.7579 5.4158
Pd 1.7579 1.7579 1.7970
Pd 1.7579 1.7579 9.0346
Tb 0.0000 0.0000 3.5482
Tb 0.0000 0.0000 7.2834
Tb 0.0000 0.0000 0.0000
```

Record 7
VASP calculation (GGA-PBE) on a relaxed Na4As crystal.

Computed properties:
DFT total energy (eV per atom): -2.153
Formation energy from the elements (meV/atom): -167

extended XYZ file:
```
5
Lattice="5.6612 0.0000 0.0000 0.0000 5.6612 0.0000 0.0000 0.0000 5.6612" Properties=species:S:1:pos:R:3 pbc="T T T"
As 2.8306 2.8306 2.8306
Na 2.8306 2.8306 0.0000
Na 0.0000 0.0000 0.0000
Na 2.8306 0.0000 2.8306
Na 0.0000 2.8306 2.8306
```

Record 8
VASP calculation (GGA-PBE) on a relaxed Cd2IrS2 crystal.

Computed properties:
DFT total energy (eV per atom): -3.223
Raw formation energy (eV per atom): 0.57
Polymorph energy (0 for the lowest one) (meV/atom): 234

extended XYZ file:
```
10
Lattice="-3.9312 -2.5535 5.6658 -2.4302 -5.5387 -4.1824 2.7288 -1.9600 1.0100" Properties=species:S:1:pos:R:3 pbc="T T T"
Cd -4.9309 -5.7512 2.1614
Cd -3.4829 -5.6542 -1.5624
Cd -2.8784 -2.4380 3.0457
Cd -1.4305 -2.3410 -0.6780
S -2.7199 -4.9519 3.8319
S -0.3506 -2.7551 1.6938
S -3.2819 -7.2971 0.7996
S -0.9127 -5.1003 -1.3385
Ir -3.1807 -4.0461 0.7417
Ir 0.0000 0.0000 0.0000
```